## Sc3In (SCAN)

Data for a crystal of Sc3In relaxed with PBEsol.

Properties
E: -154.56 eV for the cell shown
magnetic moment: 0.06 μB/cell
E_form: -0.296 eV per atom

CIF file:
```
data_Sc3In
_chemical_formula_sum 'Sc6 In2'
_space_group_name_H-M_alt 'I m m 2'
_space_group_IT_number 44
_cell_length_a 3.249
_cell_length_b 10.223
_cell_length_c 5.412
_cell_angle_alpha 90.00
_cell_angle_beta 90.00
_cell_angle_gamma 90.00
loop_
_space_group_symop_operation_xyz
'x,y,z'
'-x,-y,z'
'-x,y,z'
'x,-y,z'
'x+1/2,y+1/2,z+1/2'
'-x+1/2,-y+1/2,z+1/2'
'-x+1/2,y+1/2,z+1/2'
'x+1/2,-y+1/2,z+1/2'
loop_
_atom_site_label
_atom_site_fract_x
_atom_site_fract_y
_atom_site_fract_z
Sc1 0.000 0.000 0.000
Sc2 0.000 0.237 0.356
In1 0.000 0.500 0.023
```